1.
This record from Alexandria via LeMat-Bulk describes crystalline BaScI at its relaxed geometry. The functional is PBE.

Cell and atoms, written as extended XYZ:
```
12
Lattice="7.322 0.000 0.002 0.000 6.232 0.000 -2.449 0.000 10.025" Properties=species:S:1:pos:R:3 pbc="T T T"
Sc 3.331 3.129 1.584
Sc 2.766 0.013 3.430
Sc 2.107 0.013 6.597
Sc 1.542 3.129 8.442
I 4.187 4.824 8.134
I 5.412 1.708 3.121
I 0.686 4.824 1.893
I -0.539 1.708 6.905
Ba 2.437 3.047 5.013
Ba 3.661 6.163 0.001
Ba 0.000 1.947 0.000
Ba -1.224 5.063 5.013
```

DOS at the Fermi energy ... 4.0 states/eV/f.u.
Relative energy among the computed polymorphs ... 55 meV per atom
Total DFT energy (no corrections) ... -3.66 eV/atom
ΔE_f (raw) ... -388 meV per atom
Total magnetic moment ... 0.001 μB/atom

2.
This record from Alexandria via LeMat-Bulk describes crystalline Ba2ScI at its relaxed geometry. The functional is PBE.

Cell and atoms, written as extended XYZ:
```
4
Lattice="0.000 4.427 4.427 4.427 0.000 4.427 4.427 4.427 0.000" Properties=species:S:1:pos:R:3 pbc="T T T"
Sc 0.000 0.000 0.000
Ba 2.214 2.214 2.214
Ba 6.641 6.641 6.641
I 4.427 4.427 4.427
```

DOS at the Fermi energy ... 9.5 states/eV/f.u.
Relative energy among the computed polymorphs ... 10 meV per atom
Total DFT energy (no corrections) ... -2.96 eV/atom
ΔE_f (raw) ... -24 meV per atom
Total magnetic moment ... 0.377 μB/atom

3.
This record from Alexandria via LeMat-Bulk describes crystalline BaScI at its relaxed geometry. The functional is PBE.

Cell and atoms, written as extended XYZ:
```
9
Lattice="-0.627 -2.104 3.322 -0.742 -1.628 -3.557 22.362 -8.148 -0.938" Properties=species:S:1:pos:R:3 pbc="T T T"
Sc 6.676 -4.620 0.721
Sc 22.249 -8.107 -0.934
Sc 14.091 -7.177 -1.885
I 5.409 -1.971 -0.227
I 19.613 -9.190 -2.117
I 12.198 -6.632 0.489
Ba 2.013 -2.921 0.917
Ba 9.429 -5.479 -1.689
Ba 17.587 -6.408 -0.738
```

DOS at the Fermi energy ... 3.2 states/eV/f.u.
Relative energy among the computed polymorphs ... 58 meV per atom
Total DFT energy (no corrections) ... -3.65 eV/atom
ΔE_f (raw) ... -385 meV per atom
Total magnetic moment ... 0.396 μB/atom

4.
This record from Alexandria via LeMat-Bulk describes crystalline BaScI at its relaxed geometry. The functional is PBE.

Cell and atoms, written as extended XYZ:
```
12
Lattice="-0.208 7.032 1.229 -1.716 -0.668 3.533 14.230 -2.000 6.532" Properties=species:S:1:pos:R:3 pbc="T T T"
Ba 2.411 5.278 2.169
Ba 7.354 0.907 3.743
Ba -0.618 1.573 2.243
Ba 8.668 3.945 7.201
I 6.926 4.416 4.198
I 13.183 3.082 9.231
I 11.865 -1.199 5.535
I 3.892 -0.533 4.035
Sc 3.464 1.877 2.037
Sc 12.168 2.498 6.381
Sc 9.721 0.543 7.070
Sc 4.195 3.164 4.882
```

DOS at the Fermi energy ... 3.7 states/eV/f.u.
Relative energy among the computed polymorphs ... 12 meV per atom
Total DFT energy (no corrections) ... -3.70 eV/atom
ΔE_f (raw) ... -432 meV per atom
Total magnetic moment ... 0.299 μB/atom

5.
This record from Alexandria via LeMat-Bulk describes crystalline BaScI at its relaxed geometry. The functional is PBE.

Cell and atoms, written as extended XYZ:
```
12
Lattice="-2.076 -1.901 4.880 0.632 -9.538 -3.447 7.391 -0.567 2.923" Properties=species:S:1:pos:R:3 pbc="T T T"
Ba 3.424 -8.263 3.115
Ba -0.184 -9.311 1.172
Ba 0.450 -2.260 0.937
Ba 4.234 -3.874 1.917
Sc 1.969 -5.993 0.129
Sc 0.854 -5.774 2.991
Sc 4.311 -2.458 5.754
Sc 5.903 -9.876 0.289
I 1.635 -3.110 4.362
I 3.113 -8.804 -0.480
I 6.685 -7.212 1.659
I 5.455 -5.269 5.145
```

DOS at the Fermi energy ... 3.3 states/eV/f.u.
Relative energy among the computed polymorphs ... 2 meV per atom
Total DFT energy (no corrections) ... -3.71 eV/atom
ΔE_f (raw) ... -442 meV per atom
Total magnetic moment ... 0.002 μB/atom

6.
This record from Alexandria via LeMat-Bulk describes crystalline BaSrScI2 at its relaxed geometry. The functional is PBE.

Cell and atoms, written as extended XYZ:
```
5
Lattice="-5.783 -0.614 0.309 0.557 -1.918 6.605 -0.502 5.560 1.657" Properties=species:S:1:pos:R:3 pbc="T T T"
I -0.251 2.780 0.829
I -2.892 -0.307 0.154
Ba -2.864 1.514 4.286
Sc 0.000 0.000 0.000
Sr 0.278 -0.959 3.302
```

DOS at the Fermi energy ... 4.0 states/eV/f.u.
Total DFT energy (no corrections) ... -2.92 eV/atom
ΔE_f (raw) ... -312 meV per atom
Total magnetic moment ... 0.575 μB/atom

7.
This record from Alexandria via LeMat-Bulk describes crystalline BaSe2I at its relaxed geometry. The functional is PBE.

Cell and atoms, written as extended XYZ:
```
4
Lattice="3.034 0.000 8.038 -1.517 2.628 8.038 -1.517 -2.628 8.038" Properties=species:S:1:pos:R:3 pbc="T T T"
Se 0.000 0.000 21.380
Se 0.000 0.000 2.734
I 0.000 0.000 0.000
Ba 0.000 0.000 12.057
```

DOS at the Fermi energy ... 9.2 states/eV/f.u.
Relative energy among the computed polymorphs ... 0 meV per atom
Total DFT energy (no corrections) ... -3.40 eV/atom
ΔE_f (raw) ... -794 meV per atom
Total magnetic moment ... 0.000 μB/atom

8.
This record from Alexandria via LeMat-Bulk describes crystalline Ba9Se2I14 at its relaxed geometry. The functional is PBE.

Cell and atoms, written as extended XYZ:
```
25
Lattice="10.134 0.000 0.000 -5.067 8.776 0.000 0.000 0.000 14.048" Properties=species:S:1:pos:R:3 pbc="T T T"
I 0.000 0.000 3.602
I 3.613 5.647 1.310
I -1.223 3.421 8.366
I 3.437 0.305 1.310
I 2.716 6.006 8.366
I 8.151 2.824 1.310
I -1.493 8.125 8.366
I 6.559 0.651 5.682
I 0.000 0.000 10.446
I 6.290 5.355 5.682
I 1.630 8.471 12.738
I -3.084 5.953 12.738
I 2.351 2.770 5.682
I 1.454 3.129 12.738
Ba 6.197 5.628 9.256
Ba 2.162 2.553 9.256
Ba 0.000 5.851 0.564
Ba 0.000 0.000 0.000
Ba 5.067 2.925 13.484
Ba 2.905 6.223 4.791
Ba 6.842 0.596 9.256
Ba -1.775 8.181 4.791
Ba -1.130 3.148 4.791
Se 5.067 2.925 10.356
Se 0.000 5.851 3.692
```

DOS at the Fermi energy ... 0.0 states/eV/f.u.
Total DFT energy (no corrections) ... -3.66 eV/atom
ΔE_f (raw) ... -1820 meV per atom
Total magnetic moment ... 0.011 μB/atom

9.
This record from Alexandria via LeMat-Bulk describes crystalline Ba6Se3I2 at its relaxed geometry. The functional is PBE.

Cell and atoms, written as extended XYZ:
```
11
Lattice="0.154 5.289 6.409 2.932 -2.472 7.359 7.348 4.118 0.023" Properties=species:S:1:pos:R:3 pbc="T T T"
I 5.659 1.283 5.993
I 4.774 5.652 7.798
Ba 1.682 2.355 1.745
Ba 5.820 7.053 4.688
Ba 7.743 3.672 7.635
Ba 6.643 2.860 2.943
Ba 2.691 3.263 6.156
Ba 3.790 4.075 10.849
Se 0.000 0.000 0.000
Se 1.060 0.883 4.635
Se 2.025 1.935 9.133
```

DOS at the Fermi energy ... 6.0 states/eV/f.u.
Total DFT energy (no corrections) ... -3.87 eV/atom
ΔE_f (raw) ... -1585 meV per atom
Total magnetic moment ... 0.000 μB/atom

10.
This record from Alexandria via LeMat-Bulk describes crystalline Ba4Se2I3 at its relaxed geometry. The functional is PBE.

Cell and atoms, written as extended XYZ:
```
9
Lattice="4.858 0.000 0.005 -2.429 4.207 -0.005 -0.001 0.001 19.702" Properties=species:S:1:pos:R:3 pbc="T T T"
Ba 0.001 2.804 17.487
Ba 2.426 1.404 2.215
Ba -2.424 4.204 13.849
Ba 4.851 0.004 5.853
I 0.007 2.800 11.869
I 0.000 0.000 0.000
I 2.420 1.407 7.833
Se 2.432 1.401 15.760
Se -0.004 2.807 3.942
```

DOS at the Fermi energy ... 2.4 states/eV/f.u.
Total DFT energy (no corrections) ... -3.93 eV/atom
ΔE_f (raw) ... -1781 meV per atom
Total magnetic moment ... 0.000 μB/atom

11.
This record from Alexandria via LeMat-Bulk describes crystalline Ba4Se3I at its relaxed geometry. The functional is PBE.

Cell and atoms, written as extended XYZ:
```
8
Lattice="4.757 -0.059 0.082 0.060 7.953 2.306 -0.135 0.446 8.268" Properties=species:S:1:pos:R:3 pbc="T T T"
Ba 4.704 6.391 7.894
Ba 2.390 6.129 3.940
Ba 4.734 1.894 2.843
Ba 2.291 2.213 6.716
Se 4.719 4.142 5.369
Se 2.311 0.195 4.174
Se 4.622 0.388 8.350
I 2.273 4.394 9.461
```

DOS at the Fermi energy ... 3.1 states/eV/f.u.
Total DFT energy (no corrections) ... -4.34 eV/atom
ΔE_f (raw) ... -1875 meV per atom
Total magnetic moment ... 0.000 μB/atom